[1]
Here is an optimized crystal structure of AsPd2WSe from the Alexandria database. Energies are from PBE.

## Properties
Mass density   7.9 g/cm³
Formation energy without anion corrections   22.3 kcal/mol of atoms

Cell lengths 4.965, 4.965, 4.668 Å; angles 90.00, 90.00, 90.00 degrees
Space group P4/mmm (No. 123)
Asymmetric unit:
As 0.000 0.000 0.000 [1 per cell]
Pd 0.000 0.500 0.500 [2 per cell]
W 0.500 0.500 0.500 [1 per cell]
Se 0.500 0.500 0.000 [1 per cell]

[2]
Here is an optimized crystal structure of CsCuBi2Br8 from the Alexandria database. Energies are from PBE.

## Properties
Mass density   3.8 g/cm³
Formation energy without anion corrections   -18.8 kcal/mol of atoms

Cell lengths 7.609, 8.684, 9.175 Å; angles 75.97, 69.23, 87.07 degrees
Space group P-1 (No. 2)
Asymmetric unit:
Cs 0.000 0.000 0.000 [1 per cell]
Cu 0.000 0.500 0.000 [1 per cell]
Bi 0.025 0.260 0.474 [2 per cell]
Br 0.176 0.680 0.781 [2 per cell]
Br 0.211 0.576 0.295 [2 per cell]
Br 0.219 0.007 0.304 [2 per cell]
Br 0.291 0.217 0.610 [2 per cell]

[3]
Here is an optimized crystal structure of BaFe2Se from the Alexandria database. Energies are from PBE.

## Properties
Mass density   5.9 g/cm³
Formation energy without anion corrections   -1.5 kcal/mol of atoms

Cell lengths 3.740, 3.765, 6.557 Å; angles 90.00, 94.58, 90.00 degrees
Space group Pm (No. 6)
Asymmetric unit:
Ba 0.000 0.000 0.000 [1 per cell]
Fe 0.073 0.500 0.536 [1 per cell]
Fe 0.559 0.000 0.529 [1 per cell]
Se 0.539 0.500 0.274 [1 per cell]